# 1
# LiTbPmMn PBE relaxed
data_LiTbPmMn
_chemical_formula_sum 'Li4 Tb4 Pm4 Mn4'
_symmetry_space_group_name_H-M 'F -4 3 m'
_symmetry_Int_Tables_number 216
_symmetry_space_group_name_Hall 'F -4 2 3'
_cell_length_a 7.221
_cell_length_b 7.221
_cell_length_c 7.221
_cell_angle_alpha 90.00
_cell_angle_beta 90.00
_cell_angle_gamma 90.00
loop_
_atom_site_label
_atom_site_fract_x
_atom_site_fract_y
_atom_site_fract_z
Li1 0.000 0.000 0.000
Tb1 0.250 0.250 0.750
Pm1 0.250 0.250 0.250
Mn1 0.000 0.000 0.500
# size of the total moment	10.0	μB per cell
# calculated total energy	-4.971	eV/atom
# density of states at the Fermi level	17.62	states/eV per cell
# formation enthalpy at 0 K	145	meV per atom



# 2
# LiPm2MnTe5 PBE relaxed
data_LiPm2MnTe5
_chemical_formula_sum 'Li4 Pm8 Mn4 Te20'
_symmetry_space_group_name_H-M 'C m c 21'
_symmetry_Int_Tables_number 36
_symmetry_space_group_name_Hall 'C 2c -2'
_cell_length_a 4.332
_cell_length_b 19.075
_cell_length_c 12.218
_cell_angle_alpha 90.00
_cell_angle_beta 90.00
_cell_angle_gamma 90.00
loop_
_atom_site_label
_atom_site_fract_x
_atom_site_fract_y
_atom_site_fract_z
Li1 0.000 0.212 0.000
Pm1 0.000 0.114 0.309
Pm2 0.000 0.122 0.686
Mn1 0.000 0.401 0.487
Te1 0.000 0.036 0.071
Te2 0.000 0.295 0.336
Te3 0.000 0.306 0.656
Te4 0.000 0.355 0.998
Te5 0.000 0.482 0.303
# formation energy without anion corrections	-1019	meV/atom
# size of the total moment	16.0	μB per cell
# calculated total energy	-5.051	eV/atom
# density of states at the Fermi level	3.49	states/eV per cell



# 3
# LiPmThMn PBE relaxed
data_LiPmThMn
_chemical_formula_sum 'Li4 Pm4 Th4 Mn4'
_symmetry_space_group_name_H-M 'F -4 3 m'
_symmetry_Int_Tables_number 216
_symmetry_space_group_name_Hall 'F -4 2 3'
_cell_length_a 7.183
_cell_length_b 7.183
_cell_length_c 7.183
_cell_angle_alpha 90.00
_cell_angle_beta 90.00
_cell_angle_gamma 90.00
loop_
_atom_site_label
_atom_site_fract_x
_atom_site_fract_y
_atom_site_fract_z
Li1 0.000 0.000 0.000
Pm1 0.250 0.250 0.750
Th1 0.250 0.250 0.250
Mn1 0.000 0.000 0.500
# size of the total moment	6.0	μB per cell
# calculated total energy	-5.618	eV/atom
# density of states at the Fermi level	16.34	states/eV per cell
# formation enthalpy at 0 K	196	meV per atom



# 4
# LiPmTmMn PBE relaxed
data_LiPmTmMn
_chemical_formula_sum 'Li4 Pm4 Tm4 Mn4'
_symmetry_space_group_name_H-M 'F -4 3 m'
_symmetry_Int_Tables_number 216
_symmetry_space_group_name_Hall 'F -4 2 3'
_cell_length_a 7.156
_cell_length_b 7.156
_cell_length_c 7.156
_cell_angle_alpha 90.00
_cell_angle_beta 90.00
_cell_angle_gamma 90.00
loop_
_atom_site_label
_atom_site_fract_x
_atom_site_fract_y
_atom_site_fract_z
Li1 0.000 0.000 0.000
Pm1 0.250 0.250 0.250
Tm1 0.250 0.250 0.750
Mn1 0.000 0.000 0.500
# size of the total moment	9.9	μB per cell
# calculated total energy	-4.942	eV/atom
# density of states at the Fermi level	17.26	states/eV per cell
# formation enthalpy at 0 K	134	meV per atom



# 5
# LiPr2Mn PBE relaxed
data_LiPr2Mn
_chemical_formula_sum 'Li1 Pr2 Mn1'
_symmetry_space_group_name_H-M 'P 4/m m m'
_symmetry_Int_Tables_number 123
_symmetry_space_group_name_Hall '-P 4 2'
_cell_length_a 3.660
_cell_length_b 3.660
_cell_length_c 8.087
_cell_angle_alpha 90.00
_cell_angle_beta 90.00
_cell_angle_gamma 90.00
loop_
_atom_site_label
_atom_site_fract_x
_atom_site_fract_y
_atom_site_fract_z
Li1 0.000 0.000 0.000
Pr1 0.500 0.500 0.277
Mn1 0.000 0.000 0.500
# size of the total moment	2.8	μB per cell
# calculated total energy	-4.985	eV/atom
# density of states at the Fermi level	4.73	states/eV per cell
# formation enthalpy at 0 K	175	meV per atom



# 6
# LiPr2MnSe5 PBE relaxed
data_LiPr2MnSe5
_chemical_formula_sum 'Li4 Pr8 Mn4 Se20'
_symmetry_space_group_name_H-M 'C m c 21'
_symmetry_Int_Tables_number 36
_symmetry_space_group_name_Hall 'C 2c -2'
_cell_length_a 4.147
_cell_length_b 17.951
_cell_length_c 11.327
_cell_angle_alpha 90.00
_cell_angle_beta 90.00
_cell_angle_gamma 90.00
loop_
_atom_site_label
_atom_site_fract_x
_atom_site_fract_y
_atom_site_fract_z
Li1 0.000 0.219 0.000
Pr1 0.000 0.111 0.305
Pr2 0.000 0.124 0.685
Mn1 0.000 0.404 0.483
Se1 0.000 0.034 0.059
Se2 0.000 0.296 0.339
Se3 0.000 0.311 0.649
Se4 0.000 0.358 0.996
Se5 0.000 0.481 0.297
# formation energy without anion corrections	-1402	meV/atom
# size of the total moment	16.0	μB per cell
# calculated total energy	-5.631	eV/atom
# density of states at the Fermi level	2.73	states/eV per cell